Record 1
Compound: BaCa3
Source: Alexandria via LeMat-Bulk
Functional: GGA-PBE
Structure: relaxed

Values from the calculation:
Formation energy from the elements in meV/atom: 34
Space-group type: P2/m

Cell: 3.894 6.436 7.454 Å, 90.00 99.27 90.00°
Fractional coordinates of all 4 atoms:
Ba 0.000 0.000 0.000
Ca 0.267 0.500 0.741
Ca 0.500 0.000 0.500
Ca 0.733 0.500 0.259

***

Record 2
Compound: Ba24Ca5
Source: Alexandria via LeMat-Bulk
Functional: GGA-PBE
Structure: relaxed

Values from the calculation:
Formation energy from the elements in meV/atom: 96
Space-group type: I-43m

Cell: 13.087 13.087 13.087 Å, 109.47 109.47 109.47°
Fractional coordinates of all 29 atoms:
Ba 0.000 0.307 0.584
Ba 0.000 0.584 0.307
Ba 0.000 0.625 0.812
Ba 0.000 0.812 0.625
Ba 0.186 0.375 0.375
Ba 0.188 0.188 0.814
Ba 0.188 0.814 0.188
Ba 0.277 0.693 0.693
Ba 0.307 0.000 0.584
Ba 0.307 0.584 0.000
Ba 0.375 0.186 0.375
Ba 0.375 0.375 0.186
Ba 0.416 0.416 0.723
Ba 0.416 0.723 0.416
Ba 0.584 0.000 0.307
Ba 0.584 0.307 0.000
Ba 0.625 0.000 0.812
Ba 0.625 0.812 0.000
Ba 0.693 0.277 0.693
Ba 0.693 0.693 0.277
Ba 0.723 0.416 0.416
Ba 0.812 0.000 0.625
Ba 0.812 0.625 0.000
Ba 0.814 0.188 0.188
Ca 0.000 0.000 0.000
Ca 0.000 0.000 0.346
Ca 0.000 0.346 0.000
Ca 0.346 0.000 0.000
Ca 0.654 0.654 0.654

***

Record 3
Compound: BaCa3
Source: Alexandria via LeMat-Bulk
Functional: GGA-PBE
Structure: relaxed

Values from the calculation:
Formation energy from the elements in meV/atom: 30
Space-group type: Pm-3m

Cell: 5.741 5.741 5.741 Å, 90.00 90.00 90.00°
Fractional coordinates of all 4 atoms:
Ba 0.000 0.000 0.000
Ca 0.000 0.500 0.500
Ca 0.500 0.000 0.500
Ca 0.500 0.500 0.000

***

Q: Which of these has the lowest formation energy from the elements?
A: number 3

***

Q: formation energy from the elements of number 2 (Ba24Ca5)?
A: 96 meV/atom